Material: RbCuRh2Au
Method: DFT, PBE-GGA
State: optimized geometry

DFT formation energy: 1150.5 meV/atom
Calculated total energy: -17.29 eV/cell
Fermi-level density of states: 9.28 states/eV/f.u.
SG: P4/mmm

abc: 4.6668 5.5465 4.6668
angles: 90.00 90.00 90.00
Element x y z (fractional)
Rh  0.0000  0.0000  0.5000
Rh  0.5000  0.0000  0.0000
Au  0.5000  0.5000  0.5000
Cu  0.0000  0.0000  0.0000
Rb  0.0000  0.5000  0.0000



Material: RbCuAuS
Method: DFT, PBE-GGA
State: optimized geometry

Calculated total energy: -28.60 eV/cell
Fermi-level density of states: 2.26 states/eV/f.u.
SG: P4/nmm
Formation energy (no corrections): -457 meV/atom

abc: 3.9069 3.9069 12.6153
angles: 90.00 90.00 90.00
Element x y z (fractional)
Rb  0.7500  0.7500  0.2531
Rb  0.2500  0.2500  0.7469
Cu  0.7500  0.2500  0.0000
Cu  0.2500  0.7500  0.0000
Au  0.2500  0.7500  0.5000
Au  0.7500  0.2500  0.5000
S  0.7500  0.7500  0.8927
S  0.2500  0.2500  0.1073



Material: RbCuAuS2
Method: DFT, PBE-GGA
State: optimized geometry

Calculated total energy: -37.88 eV/cell
Fermi-level density of states: 4.19 states/eV/f.u.
SG: P2/c
Formation energy (no corrections): -469 meV/atom

abc: 5.5109 7.0558 6.7386
angles: 105.13 90.00 90.00
Element x y z (fractional)
Rb  0.2081  0.5000  0.7500
Rb  0.7919  0.5000  0.2500
Cu  0.5104  0.0000  0.2500
Cu  0.4896  0.0000  0.7500
Au  0.0000  0.0000  0.0000
Au  0.0000  0.0000  0.5000
S  0.6611  0.7973  0.9420
S  0.6611  0.2027  0.5580
S  0.3389  0.7973  0.4420
S  0.3389  0.2027  0.0580



Material: Rb2ScCuAu
Method: DFT, PBE-GGA
State: optimized geometry

DFT formation energy: 519.4 meV/atom
Calculated total energy: -13.04 eV/cell
Fermi-level density of states: 4.95 states/eV/f.u.
SG: P4/mmm

abc: 6.4901 5.3257 6.4901
angles: 90.00 90.00 90.00
Element x y z (fractional)
Sc  0.0000  0.5000  0.0000
Au  0.0000  0.0000  0.0000
Cu  0.5000  0.5000  0.5000
Rb  0.0000  0.0000  0.5000
Rb  0.5000  0.0000  0.0000



Material: RbCuSiAu2
Method: DFT, PBE-GGA
State: optimized geometry

Calculated total energy: -17.23 eV/cell
Fermi-level density of states: 1.17 states/eV/f.u.
SG: P4/mmm
Formation energy (no corrections): -37 meV/atom

abc: 5.0009 5.0009 4.7190
angles: 90.00 90.00 90.00
Element x y z (fractional)
Si  0.0000  0.0000  0.0000
Au  0.0000  0.5000  0.0000
Au  0.5000  0.0000  0.0000
Cu  0.0000  0.0000  0.5000
Rb  0.5000  0.5000  0.5000



Material: RbSr2CuAu
Method: DFT, PBE-GGA
State: optimized geometry

DFT formation energy: 981.7 meV/atom
Calculated total energy: -6.80 eV/cell
Fermi-level density of states: 3.55 states/eV/f.u.
SG: P4/mmm

abc: 7.0437 5.7355 7.0437
angles: 90.00 90.00 90.00
Element x y z (fractional)
Sr  0.0000  0.0000  0.5000
Sr  0.5000  0.0000  0.0000
Au  0.0000  0.5000  0.0000
Cu  0.5000  0.5000  0.5000
Rb  0.0000  0.0000  0.0000



Material: RbCuTeAu
Method: DFT, PBE-GGA
State: optimized geometry

Calculated total energy: -25.59 eV/cell
Fermi-level density of states: 1.59 states/eV/f.u.
SG: P4/nmm
Formation energy (no corrections): -328 meV/atom

abc: 4.0544 4.0544 13.7839
angles: 90.00 90.00 90.00
Element x y z (fractional)
Rb  0.7500  0.7500  0.2852
Rb  0.2500  0.2500  0.7148
Cu  0.7500  0.2500  0.0000
Cu  0.2500  0.7500  0.0000
Te  0.7500  0.7500  0.8790
Te  0.2500  0.2500  0.1210
Au  0.2500  0.7500  0.5000
Au  0.7500  0.2500  0.5000



Material: RbTl2CuAu
Method: DFT, PBE-GGA
State: optimized geometry

DFT formation energy: 51.3 meV/atom
Calculated total energy: -12.82 eV/cell
Fermi-level density of states: 2.31 states/eV/f.u.
SG: P4/mmm

abc: 5.3079 5.3079 5.2602
angles: 90.00 90.00 90.00
Element x y z (fractional)
Tl  0.0000  0.5000  0.0000
Tl  0.5000  0.0000  0.0000
Au  0.0000  0.0000  0.5000
Cu  0.0000  0.0000  0.0000
Rb  0.5000  0.5000  0.5000



Material: CuReAu2
Method: DFT, PBE-GGA
State: optimized geometry

DFT formation energy: 289.9 meV/atom
Calculated total energy: -21.94 eV/cell
Fermi-level density of states: 2.54 states/eV/f.u.
SG: P4mm
ΔE to the lowest computed polymorph: 0.00 kJ per mole of atoms

abc: 2.7544 2.7544 8.3005
angles: 90.00 90.00 90.00
Element x y z (fractional)
Au  0.0000  0.0000  0.9878
Au  0.5000  0.5000  0.2713
Cu  0.0000  0.0000  0.5105
Re  0.5000  0.5000  0.7303



Material: CuReAu3
Method: DFT, PBE-GGA
State: optimized geometry

DFT formation energy: 1483.4 meV/atom
Calculated total energy: -18.96 eV/cell
Fermi-level density of states: 5.15 states/eV/f.u.
SG: Pm-3m
ΔE to the lowest computed polymorph: 9.08 kJ per mole of atoms

abc: 5.0308 5.0308 5.0308
angles: 90.00 90.00 90.00
Element x y z (fractional)
Re  0.0000  0.0000  0.0000
Au  0.0000  0.5000  0.0000
Au  0.0000  0.0000  0.5000
Au  0.5000  0.0000  0.0000
Cu  0.5000  0.5000  0.5000



Material: CuReAu2
Method: DFT, PBE-GGA
State: optimized geometry

DFT formation energy: 549.7 meV/atom
Calculated total energy: -20.90 eV/cell
Fermi-level density of states: 3.23 states/eV/f.u.
SG: Immm
ΔE to the lowest computed polymorph: 25.07 kJ per mole of atoms

abc: 5.5534 5.5534 5.5534
angles: 151.44 127.74 60.64
Element x y z (fractional)
Au  0.9912  0.9912  0.0000
Au  0.5088  0.5088  0.0000
Cu  0.7500  0.2500  0.5000
Re  0.2500  0.7500  0.5000



Material: CuReAu2
Method: DFT, PBE-GGA
State: optimized geometry

DFT formation energy: 603.5 meV/atom
Calculated total energy: -20.68 eV/cell
Fermi-level density of states: 3.26 states/eV/f.u.
SG: I-4m2
ΔE to the lowest computed polymorph: 30.26 kJ per mole of atoms

abc: 4.7989 4.7989 4.7989
angles: 129.72 129.72 73.86
Element x y z (fractional)
Au  0.0000  0.0000  0.0000
Au  0.2500  0.7500  0.5000
Cu  0.5000  0.5000  0.0000
Re  0.7500  0.2500  0.5000



Material: Cu3ReAu
Method: DFT, PBE-GGA
State: optimized geometry

DFT formation energy: 1568.5 meV/atom
Calculated total energy: -20.17 eV/cell
Fermi-level density of states: 5.36 states/eV/f.u.
SG: Pm-3m
ΔE to the lowest computed polymorph: 0.00 kJ per mole of atoms

abc: 4.6384 4.6384 4.6384
angles: 90.00 90.00 90.00
Element x y z (fractional)
Re  0.0000  0.0000  0.0000
Au  0.5000  0.5000  0.5000
Cu  0.0000  0.5000  0.0000
Cu  0.0000  0.0000  0.5000
Cu  0.5000  0.0000  0.0000



Material: CuReAu2
Method: DFT, PBE-GGA
State: optimized geometry

DFT formation energy: 906.0 meV/atom
Calculated total energy: -38.95 eV/cell
Fermi-level density of states: 3.61 states/eV/f.u.
SG: I-42d
ΔE to the lowest computed polymorph: 59.44 kJ per mole of atoms

abc: 3.8228 3.8228 9.8138
angles: 78.77 78.77 90.00
Element x y z (fractional)
Re  0.0000  0.0000  0.0000
Re  0.7500  0.2500  0.5000
Au  0.6225  0.1250  0.2500
Au  0.1275  0.6250  0.2500
Au  0.3750  0.3775  0.7500
Au  0.8750  0.8725  0.7500
Cu  0.5000  0.5000  0.0000
Cu  0.2500  0.7500  0.5000



Material: CuRe4Au
Method: DFT, PBE-GGA
State: optimized geometry

DFT formation energy: 753.6 meV/atom
Calculated total energy: -52.64 eV/cell
Fermi-level density of states: 6.44 states/eV/f.u.
SG: F-43m

abc: 5.1929 5.1929 5.1929
angles: 60.00 60.00 60.00
Element x y z (fractional)
Cu  0.0000  0.0000  0.0000
Re  0.8747  0.3751  0.3751
Re  0.3751  0.3751  0.8747
Re  0.3751  0.8747  0.3751
Re  0.3751  0.3751  0.3751
Au  0.7500  0.7500  0.7500



Material: Cu3ReAu
Method: DFT, PBE-GGA
State: optimized geometry

DFT formation energy: 1685.9 meV/atom
Calculated total energy: -19.58 eV/cell
Fermi-level density of states: 5.13 states/eV/f.u.
SG: Pm-3m
ΔE to the lowest computed polymorph: 11.33 kJ per mole of atoms

abc: 4.6771 4.6771 4.6771
angles: 90.00 90.00 90.00
Element x y z (fractional)
Re  0.5000  0.5000  0.5000
Au  0.0000  0.0000  0.0000
Cu  0.0000  0.5000  0.0000
Cu  0.0000  0.0000  0.5000
Cu  0.5000  0.0000  0.0000



Material: CuReAu3
Method: DFT, PBE-GGA
State: optimized geometry

DFT formation energy: 1389.3 meV/atom
Calculated total energy: -19.43 eV/cell
Fermi-level density of states: 3.55 states/eV/f.u.
SG: Pm-3m
ΔE to the lowest computed polymorph: 0.00 kJ per mole of atoms

abc: 4.7048 4.7048 4.7048
angles: 90.00 90.00 90.00
Element x y z (fractional)
Re  0.5000  0.5000  0.5000
Au  0.0000  0.5000  0.0000
Au  0.0000  0.0000  0.5000
Au  0.5000  0.0000  0.0000
Cu  0.0000  0.0000  0.0000



Material: CuReAu
Method: DFT, PBE-GGA
State: optimized geometry

DFT formation energy: 1024.5 meV/atom
Calculated total energy: -16.75 eV/cell
Fermi-level density of states: 4.97 states/eV/f.u.
SG: F-43m
ΔE to the lowest computed polymorph: 67.39 kJ per mole of atoms

abc: 4.1361 4.1361 4.1361
angles: 60.00 60.00 60.00
Element x y z (fractional)
Au  0.5000  0.5000  0.5000
Cu  0.7500  0.7500  0.7500
Re  0.0000  0.0000  0.0000



Material: CuReAu2
Method: DFT, PBE-GGA
State: optimized geometry

DFT formation energy: 392.6 meV/atom
Calculated total energy: -21.53 eV/cell
Fermi-level density of states: 2.07 states/eV/f.u.
SG: Cmmm
ΔE to the lowest computed polymorph: 9.91 kJ per mole of atoms

abc: 6.5473 4.9507 2.7079
angles: 89.99 65.59 123.24
Element x y z (fractional)
Au  0.0000  0.0000  0.0000
Au  0.5000  0.0000  0.5000
Cu  0.0000  0.5000  0.5000
Re  0.5000  0.5000  0.0000



Material: CuReAu2
Method: DFT, PBE-GGA
State: optimized geometry

DFT formation energy: 540.2 meV/atom
Calculated total energy: -20.94 eV/cell
Fermi-level density of states: 1.66 states/eV/f.u.
SG: Pmmm
ΔE to the lowest computed polymorph: 24.15 kJ per mole of atoms

abc: 2.7176 4.8849 4.8868
angles: 90.00 90.00 90.00
Element x y z (fractional)
Au  0.0000  0.0000  0.0000
Au  0.5000  0.5000  0.0000
Cu  0.5000  0.0000  0.5000
Re  0.0000  0.5000  0.5000